Record 1
# NdLu2Hg PBE relaxed
# crystal system	tetragonal
# distance to the lowest polymorph of the same formula	0	meV per atom
# calculated density	10.1	Mg/m³
# total magnetization	0.00	μB per formula unit
# E_form	-0.23	eV/atom
data_NdLu2Hg
_cell_length_a 3.577
_cell_length_b 3.577
_cell_length_c 8.891
_cell_angle_alpha 90.00
_cell_angle_beta 90.00
_cell_angle_gamma 90.00
_space_group_name_H-M_alt 'P 4/m m m'
_space_group_IT_number 123
_space_group_name_Hall '-P 4 2'
loop_
_atom_site_label
_atom_site_fract_x
_atom_site_fract_y
_atom_site_fract_z
_atom_site_occupancy
Nd1 0.000 0.000 0.000 1
Lu1 0.500 0.500 0.286 1
Hg1 0.000 0.000 0.500 1

***

Record 2
# NdLuHg4 PBE relaxed
# crystal system	cubic
# calculated density	12.3	Mg/m³
# total magnetization	0.00	μB per formula unit
# E_form	-0.19	eV/atom
data_NdLuHg4
_cell_length_a 8.451
_cell_length_b 8.451
_cell_length_c 8.451
_cell_angle_alpha 90.00
_cell_angle_beta 90.00
_cell_angle_gamma 90.00
_space_group_name_H-M_alt 'F -4 3 m'
_space_group_IT_number 216
_space_group_name_Hall 'F -4 2 3'
loop_
_atom_site_label
_atom_site_fract_x
_atom_site_fract_y
_atom_site_fract_z
_atom_site_occupancy
Nd1 0.000 0.000 0.000 1
Lu1 0.250 0.250 0.750 1
Hg1 0.125 0.125 0.375 1

***

Record 3
# NdLu2Hg PBE relaxed
# crystal system	trigonal
# distance to the lowest polymorph of the same formula	68	meV per atom
# calculated density	9.9	Mg/m³
# total magnetization	0.00	μB per formula unit
# E_form	-0.17	eV/atom
data_NdLu2Hg
_cell_length_a 3.5808
_cell_length_b 3.5808
_cell_length_c 31.4130
_cell_angle_alpha 90.00
_cell_angle_beta 90.00
_cell_angle_gamma 120.00
_space_group_name_H-M_alt 'R -3 m'
_space_group_IT_number 166
_space_group_name_Hall '-R 3 2"'
loop_
_atom_site_label
_atom_site_fract_x
_atom_site_fract_y
_atom_site_fract_z
_atom_site_occupancy
Nd1 0.0000 0.0000 0.0000 1
Lu1 0.0000 0.0000 0.2412 1
Hg1 0.0000 0.0000 0.5000 1

***

Record 4
# NdLuNiHg PBE relaxed
# crystal system	cubic
# calculated density	10.3	Mg/m³
# total magnetization	0.00	μB per formula unit
# E_form	-0.31	eV/atom
data_NdLuNiHg
_cell_length_a 7.196
_cell_length_b 7.196
_cell_length_c 7.196
_cell_angle_alpha 90.00
_cell_angle_beta 90.00
_cell_angle_gamma 90.00
_space_group_name_H-M_alt 'F -4 3 m'
_space_group_IT_number 216
_space_group_name_Hall 'F -4 2 3'
loop_
_atom_site_label
_atom_site_fract_x
_atom_site_fract_y
_atom_site_fract_z
_atom_site_occupancy
Nd1 0.000 0.000 0.000 1
Lu1 0.000 0.000 0.500 1
Ni1 0.250 0.250 0.250 1
Hg1 0.250 0.250 0.750 1

***

Record 5
# NdLuHgPd PBE relaxed
# crystal system	cubic
# calculated density	10.7	Mg/m³
# total magnetization	0.00	μB per formula unit
# E_form	-0.60	eV/atom
data_NdLuHgPd
_cell_length_a 7.289
_cell_length_b 7.289
_cell_length_c 7.289
_cell_angle_alpha 90.00
_cell_angle_beta 90.00
_cell_angle_gamma 90.00
_space_group_name_H-M_alt 'F -4 3 m'
_space_group_IT_number 216
_space_group_name_Hall 'F -4 2 3'
loop_
_atom_site_label
_atom_site_fract_x
_atom_site_fract_y
_atom_site_fract_z
_atom_site_occupancy
Nd1 0.000 0.000 0.000 1
Lu1 0.000 0.000 0.500 1
Hg1 0.250 0.250 0.750 1
Pd1 0.250 0.250 0.250 1

***

Record 6
# PmNdLuHg PBE relaxed
# crystal system	cubic
# calculated density	9.4	Mg/m³
# total magnetization	0.00	μB per formula unit
# E_form	-0.09	eV/atom
data_PmNdLuHg
_cell_length_a 7.760
_cell_length_b 7.760
_cell_length_c 7.760
_cell_angle_alpha 90.00
_cell_angle_beta 90.00
_cell_angle_gamma 90.00
_space_group_name_H-M_alt 'F -4 3 m'
_space_group_IT_number 216
_space_group_name_Hall 'F -4 2 3'
loop_
_atom_site_label
_atom_site_fract_x
_atom_site_fract_y
_atom_site_fract_z
_atom_site_occupancy
Pm1 0.000 0.000 0.000 1
Nd1 0.000 0.000 0.500 1
Lu1 0.250 0.250 0.750 1
Hg1 0.250 0.250 0.250 1

***

Record 7
# NdLuHgPt PBE relaxed
# crystal system	cubic
# calculated density	12.4	Mg/m³
# total magnetization	0.00	μB per formula unit
# E_form	-0.76	eV/atom
data_NdLuHgPt
_cell_length_a 7.258
_cell_length_b 7.258
_cell_length_c 7.258
_cell_angle_alpha 90.00
_cell_angle_beta 90.00
_cell_angle_gamma 90.00
_space_group_name_H-M_alt 'F -4 3 m'
_space_group_IT_number 216
_space_group_name_Hall 'F -4 2 3'
loop_
_atom_site_label
_atom_site_fract_x
_atom_site_fract_y
_atom_site_fract_z
_atom_site_occupancy
Nd1 0.000 0.000 0.000 1
Lu1 0.000 0.000 0.500 1
Hg1 0.250 0.250 0.750 1
Pt1 0.250 0.250 0.250 1

***

Record 8
# NdLuHgRh PBE relaxed
# crystal system	cubic
# calculated density	11.1	Mg/m³
# total magnetization	0.00	μB per formula unit
# E_form	-0.57	eV/atom
data_NdLuHgRh
_cell_length_a 7.200
_cell_length_b 7.200
_cell_length_c 7.200
_cell_angle_alpha 90.00
_cell_angle_beta 90.00
_cell_angle_gamma 90.00
_space_group_name_H-M_alt 'F -4 3 m'
_space_group_IT_number 216
_space_group_name_Hall 'F -4 2 3'
loop_
_atom_site_label
_atom_site_fract_x
_atom_site_fract_y
_atom_site_fract_z
_atom_site_occupancy
Nd1 0.000 0.000 0.000 1
Lu1 0.000 0.000 0.500 1
Hg1 0.250 0.250 0.750 1
Rh1 0.250 0.250 0.250 1

***

Record 9
# NdLuHgRu PBE relaxed
# crystal system	cubic
# calculated density	11.2	Mg/m³
# total magnetization	0.00	μB per formula unit
# E_form	-0.30	eV/atom
data_NdLuHgRu
_cell_length_a 7.166
_cell_length_b 7.166
_cell_length_c 7.166
_cell_angle_alpha 90.00
_cell_angle_beta 90.00
_cell_angle_gamma 90.00
_space_group_name_H-M_alt 'F -4 3 m'
_space_group_IT_number 216
_space_group_name_Hall 'F -4 2 3'
loop_
_atom_site_label
_atom_site_fract_x
_atom_site_fract_y
_atom_site_fract_z
_atom_site_occupancy
Nd1 0.000 0.000 0.000 1
Lu1 0.000 0.000 0.500 1
Hg1 0.250 0.250 0.750 1
Ru1 0.250 0.250 0.250 1

***

Record 10
# NdSmLuHg PBE relaxed
# crystal system	cubic
# calculated density	9.6	Mg/m³
# total magnetization	0.00	μB per formula unit
# E_form	-0.09	eV/atom
data_NdSmLuHg
_cell_length_a 7.746
_cell_length_b 7.746
_cell_length_c 7.746
_cell_angle_alpha 90.00
_cell_angle_beta 90.00
_cell_angle_gamma 90.00
_space_group_name_H-M_alt 'F -4 3 m'
_space_group_IT_number 216
_space_group_name_Hall 'F -4 2 3'
loop_
_atom_site_label
_atom_site_fract_x
_atom_site_fract_y
_atom_site_fract_z
_atom_site_occupancy
Nd1 0.000 0.000 0.000 1
Sm1 0.000 0.000 0.500 1
Lu1 0.250 0.250 0.750 1
Hg1 0.250 0.250 0.250 1

***

Record 11
# NdLuSnHg PBE relaxed
# crystal system	cubic
# calculated density	9.9	Mg/m³
# total magnetization	0.00	μB per formula unit
# E_form	-0.53	eV/atom
data_NdLuSnHg
_cell_length_a 7.530
_cell_length_b 7.530
_cell_length_c 7.530
_cell_angle_alpha 90.00
_cell_angle_beta 90.00
_cell_angle_gamma 90.00
_space_group_name_H-M_alt 'F -4 3 m'
_space_group_IT_number 216
_space_group_name_Hall 'F -4 2 3'
loop_
_atom_site_label
_atom_site_fract_x
_atom_site_fract_y
_atom_site_fract_z
_atom_site_occupancy
Nd1 0.000 0.000 0.000 1
Lu1 0.000 0.000 0.500 1
Sn1 0.250 0.250 0.750 1
Hg1 0.250 0.250 0.250 1

***

Record 12
# NdLuTlHg PBE relaxed
# crystal system	cubic
# calculated density	11.0	Mg/m³
# total magnetization	0.41	μB per formula unit
# E_form	-0.39	eV/atom
data_NdLuTlHg
_cell_length_a 7.589
_cell_length_b 7.589
_cell_length_c 7.589
_cell_angle_alpha 90.00
_cell_angle_beta 90.00
_cell_angle_gamma 90.00
_space_group_name_H-M_alt 'F -4 3 m'
_space_group_IT_number 216
_space_group_name_Hall 'F -4 2 3'
loop_
_atom_site_label
_atom_site_fract_x
_atom_site_fract_y
_atom_site_fract_z
_atom_site_occupancy
Nd1 0.000 0.000 0.000 1
Lu1 0.000 0.000 0.500 1
Tl1 0.250 0.250 0.250 1
Hg1 0.250 0.250 0.750 1

***

Record 13
# NdTmLuHg PBE relaxed
# crystal system	cubic
# calculated density	10.2	Mg/m³
# total magnetization	0.01	μB per formula unit
# E_form	-0.06	eV/atom
data_NdTmLuHg
_cell_length_a 7.659
_cell_length_b 7.659
_cell_length_c 7.659
_cell_angle_alpha 90.00
_cell_angle_beta 90.00
_cell_angle_gamma 90.00
_space_group_name_H-M_alt 'F -4 3 m'
_space_group_IT_number 216
_space_group_name_Hall 'F -4 2 3'
loop_
_atom_site_label
_atom_site_fract_x
_atom_site_fract_y
_atom_site_fract_z
_atom_site_occupancy
Nd1 0.000 0.000 0.000 1
Tm1 0.000 0.000 0.500 1
Lu1 0.250 0.250 0.250 1
Hg1 0.250 0.250 0.750 1

***

Record 14
# NdYLuHg PBE relaxed
# crystal system	cubic
# calculated density	8.8	Mg/m³
# total magnetization	0.03	μB per formula unit
# E_form	-0.08	eV/atom
data_NdYLuHg
_cell_length_a 7.703
_cell_length_b 7.703
_cell_length_c 7.703
_cell_angle_alpha 90.00
_cell_angle_beta 90.00
_cell_angle_gamma 90.00
_space_group_name_H-M_alt 'F -4 3 m'
_space_group_IT_number 216
_space_group_name_Hall 'F -4 2 3'
loop_
_atom_site_label
_atom_site_fract_x
_atom_site_fract_y
_atom_site_fract_z
_atom_site_occupancy
Nd1 0.000 0.000 0.000 1
Y1 0.000 0.000 0.500 1
Lu1 0.250 0.250 0.750 1
Hg1 0.250 0.250 0.250 1

***

Record 15
# NdLuZnHg PBE relaxed
# crystal system	cubic
# calculated density	9.7	Mg/m³
# total magnetization	0.02	μB per formula unit
# E_form	-0.37	eV/atom
data_NdLuZnHg
_cell_length_a 7.370
_cell_length_b 7.370
_cell_length_c 7.370
_cell_angle_alpha 90.00
_cell_angle_beta 90.00
_cell_angle_gamma 90.00
_space_group_name_H-M_alt 'F -4 3 m'
_space_group_IT_number 216
_space_group_name_Hall 'F -4 2 3'
loop_
_atom_site_label
_atom_site_fract_x
_atom_site_fract_y
_atom_site_fract_z
_atom_site_occupancy
Nd1 0.000 0.000 0.000 1
Lu1 0.000 0.000 0.500 1
Zn1 0.250 0.250 0.250 1
Hg1 0.250 0.250 0.750 1

***

Record 16
# PrLuNiHg PBE relaxed
# crystal system	cubic
# calculated density	10.1	Mg/m³
# total magnetization	0.00	μB per formula unit
# E_form	-0.30	eV/atom
data_PrLuNiHg
_cell_length_a 7.226
_cell_length_b 7.226
_cell_length_c 7.226
_cell_angle_alpha 90.00
_cell_angle_beta 90.00
_cell_angle_gamma 90.00
_space_group_name_H-M_alt 'F -4 3 m'
_space_group_IT_number 216
_space_group_name_Hall 'F -4 2 3'
loop_
_atom_site_label
_atom_site_fract_x
_atom_site_fract_y
_atom_site_fract_z
_atom_site_occupancy
Pr1 0.000 0.000 0.000 1
Lu1 0.000 0.000 0.500 1
Ni1 0.250 0.250 0.250 1
Hg1 0.250 0.250 0.750 1

***

Record 17
# LuNiHgRh PBE relaxed
# crystal system	cubic
# calculated density	12.9	Mg/m³
# total magnetization	0.00	μB per formula unit
# E_form	-0.40	eV/atom
data_LuNiHgRh
_cell_length_a 6.517
_cell_length_b 6.517
_cell_length_c 6.517
_cell_angle_alpha 90.00
_cell_angle_beta 90.00
_cell_angle_gamma 90.00
_space_group_name_H-M_alt 'F -4 3 m'
_space_group_IT_number 216
_space_group_name_Hall 'F -4 2 3'
loop_
_atom_site_label
_atom_site_fract_x
_atom_site_fract_y
_atom_site_fract_z
_atom_site_occupancy
Lu1 0.000 0.000 0.000 1
Ni1 0.250 0.250 0.750 1
Hg1 0.000 0.000 0.500 1
Rh1 0.250 0.250 0.250 1

***

Record 18
# SmLuNiHg PBE relaxed
# crystal system	cubic
# calculated density	10.6	Mg/m³
# total magnetization	0.00	μB per formula unit
# E_form	-0.34	eV/atom
data_SmLuNiHg
_cell_length_a 7.146
_cell_length_b 7.146
_cell_length_c 7.146
_cell_angle_alpha 90.00
_cell_angle_beta 90.00
_cell_angle_gamma 90.00
_space_group_name_H-M_alt 'F -4 3 m'
_space_group_IT_number 216
_space_group_name_Hall 'F -4 2 3'
loop_
_atom_site_label
_atom_site_fract_x
_atom_site_fract_y
_atom_site_fract_z
_atom_site_occupancy
Sm1 0.000 0.000 0.000 1
Lu1 0.000 0.000 0.500 1
Ni1 0.250 0.250 0.750 1
Hg1 0.250 0.250 0.250 1

***

Record 19
# TbLuNiHg PBE relaxed
# crystal system	cubic
# calculated density	11.1	Mg/m³
# total magnetization	0.00	μB per formula unit
# E_form	-0.37	eV/atom
data_TbLuNiHg
_cell_length_a 7.082
_cell_length_b 7.082
_cell_length_c 7.082
_cell_angle_alpha 90.00
_cell_angle_beta 90.00
_cell_angle_gamma 90.00
_space_group_name_H-M_alt 'F -4 3 m'
_space_group_IT_number 216
_space_group_name_Hall 'F -4 2 3'
loop_
_atom_site_label
_atom_site_fract_x
_atom_site_fract_y
_atom_site_fract_z
_atom_site_occupancy
Tb1 0.000 0.000 0.000 1
Lu1 0.000 0.000 0.500 1
Ni1 0.250 0.250 0.250 1
Hg1 0.250 0.250 0.750 1

***

Record 20
# LuThNiHg PBE relaxed
# crystal system	cubic
# calculated density	11.8	Mg/m³
# total magnetization	0.00	μB per formula unit
# E_form	-0.23	eV/atom
data_LuThNiHg
_cell_length_a 7.221
_cell_length_b 7.221
_cell_length_c 7.221
_cell_angle_alpha 90.00
_cell_angle_beta 90.00
_cell_angle_gamma 90.00
_space_group_name_H-M_alt 'F -4 3 m'
_space_group_IT_number 216
_space_group_name_Hall 'F -4 2 3'
loop_
_atom_site_label
_atom_site_fract_x
_atom_site_fract_y
_atom_site_fract_z
_atom_site_occupancy
Lu1 0.000 0.000 0.000 1
Th1 0.000 0.000 0.500 1
Ni1 0.250 0.250 0.250 1
Hg1 0.250 0.250 0.750 1